1.
Entry from Alexandria via LeMat-Bulk: a relaxed Ac3Zn2HgPd6 crystal (PBE).

Values from the calculation:
formation energy: -0.585 eV/atom
space-group type: P-3m1 (164)

Cell: 5.895 5.895 9.197 Å, 90.00 90.00 120.00°
Fractional coordinates of all 12 atoms:
Ac  0.000  0.000  0.000
Ac  0.333  0.667  0.631
Ac  0.667  0.333  0.369
Zn  0.333  0.667  0.037
Zn  0.667  0.333  0.963
Hg  0.000  0.000  0.500
Pd  0.175  0.350  0.268
Pd  0.175  0.825  0.268
Pd  0.350  0.175  0.732
Pd  0.650  0.825  0.268
Pd  0.825  0.175  0.732
Pd  0.825  0.650  0.732

2.
Entry from Alexandria via LeMat-Bulk: a relaxed AcPmHg5 crystal (PBE).

Values from the calculation:
formation energy: -0.311 eV/atom
space-group type: P4/mmm (123)

Cell: 4.744 4.744 9.195 Å, 90.00 90.00 90.00°
Fractional coordinates of all 7 atoms:
Ac  0.000  0.000  0.000
Pm  0.500  0.500  0.500
Hg  0.000  0.000  0.500
Hg  0.000  0.500  0.256
Hg  0.000  0.500  0.744
Hg  0.500  0.000  0.256
Hg  0.500  0.000  0.744

3.
Entry from Alexandria via LeMat-Bulk: a relaxed Ac6PmHg12 crystal (PBE).

Values from the calculation:
formation energy: -0.371 eV/atom
space-group type: R-3 (148)

Cell: 9.032 9.032 9.032 Å, 107.37 107.37 107.37°
Fractional coordinates of all 19 atoms:
Ac  0.003  0.426  0.269
Ac  0.269  0.003  0.426
Ac  0.426  0.269  0.003
Ac  0.574  0.731  0.997
Ac  0.731  0.997  0.574
Ac  0.997  0.574  0.731
Pm  0.500  0.500  0.500
Hg  0.066  0.315  0.919
Hg  0.081  0.934  0.685
Hg  0.241  0.363  0.654
Hg  0.315  0.919  0.066
Hg  0.346  0.759  0.637
Hg  0.363  0.654  0.241
Hg  0.637  0.346  0.759
Hg  0.654  0.241  0.363
Hg  0.685  0.081  0.934
Hg  0.759  0.637  0.346
Hg  0.919  0.066  0.315
Hg  0.934  0.685  0.081